(1)
Entry from the Alexandria database: CaMn4Tl after structural relaxation (PBE).

The structure in CIF format:
```
data_CaMn4Tl
_chemical_formula_sum 'Ca4 Mn16 Tl4'
_symmetry_space_group_name_H-M 'F -4 3 m'
_symmetry_Int_Tables_number 216
_symmetry_space_group_name_Hall 'F -4 2 3'
_cell_length_a 7.6099
_cell_length_b 7.6099
_cell_length_c 7.6099
_cell_angle_alpha 90.00
_cell_angle_beta 90.00
_cell_angle_gamma 90.00
loop_
_atom_site_label
_atom_site_fract_x
_atom_site_fract_y
_atom_site_fract_z
Ca1 0.0000 0.0000 0.0000
Mn1 0.1261 0.1261 0.6261
Tl1 0.2500 0.2500 0.2500
```


(2)
Entry from the Alexandria database: Cs2CdH5 after structural relaxation (PBE).

The structure in CIF format:
```
data_Cs2CdH5
_chemical_formula_sum 'Cs4 Cd2 H10'
_symmetry_space_group_name_H-M 'I 4 m m'
_symmetry_Int_Tables_number 107
_symmetry_space_group_name_Hall 'I 4 -2'
_cell_length_a 6.5617
_cell_length_b 6.5617
_cell_length_c 8.8530
_cell_angle_alpha 90.00
_cell_angle_beta 90.00
_cell_angle_gamma 90.00
loop_
_atom_site_label
_atom_site_fract_x
_atom_site_fract_y
_atom_site_fract_z
Cs1 0.0000 0.5000 0.0000
Cd1 0.0000 0.0000 0.2807
H1 0.0000 0.0000 0.4904
H2 0.1939 0.1939 0.2309
```


(3)
Entry from the Alexandria database: Nd8Er3 after structural relaxation (PBE).

Results
Relative energy among the computed polymorphs in eV per formula unit: 0.000

The structure in CIF format:
```
data_Nd8Er3
_chemical_formula_sum 'Nd24 Er9'
_symmetry_space_group_name_H-M 'R -3'
_symmetry_Int_Tables_number 148
_symmetry_space_group_name_Hall '-R 3'
_cell_length_a 12.1299
_cell_length_b 12.1299
_cell_length_c 9.0695
_cell_angle_alpha 90.00
_cell_angle_beta 90.00
_cell_angle_gamma 120.00
loop_
_atom_site_label
_atom_site_fract_x
_atom_site_fract_y
_atom_site_fract_z
Nd1 0.0000 0.0000 0.2266
Nd2 0.0381 0.5702 0.1441
Er1 0.0000 0.5000 0.5000
```


(4)
Entry from the Alexandria database: LaTb3Ag2 after structural relaxation (PBE).

The structure in CIF format:
```
data_LaTb3Ag2
_chemical_formula_sum 'La1 Tb3 Ag2'
_symmetry_space_group_name_H-M 'P 4/m m m'
_symmetry_Int_Tables_number 123
_symmetry_space_group_name_Hall '-P 4 2'
_cell_length_a 3.6614
_cell_length_b 3.6614
_cell_length_c 12.4656
_cell_angle_alpha 90.00
_cell_angle_beta 90.00
_cell_angle_gamma 90.00
loop_
_atom_site_label
_atom_site_fract_x
_atom_site_fract_y
_atom_site_fract_z
La1 0.0000 0.0000 0.0000
Tb1 0.5000 0.5000 0.2098
Tb2 0.5000 0.5000 0.5000
Ag1 0.0000 0.0000 0.3528
```


(5)
Entry from the Alexandria database: RbBaH2 after structural relaxation (PBE).

Results
Relative energy among the computed polymorphs in eV per formula unit: 0.082

The structure in CIF format:
```
data_RbBaH2
_chemical_formula_sum 'Rb2 Ba2 H4'
_symmetry_space_group_name_H-M 'P 1'
_symmetry_Int_Tables_number 1
_cell_length_a 4.3282
_cell_length_b 6.9279
_cell_length_c 8.9223
_cell_angle_alpha 92.70
_cell_angle_beta 103.74
_cell_angle_gamma 90.03
loop_
_symmetry_equiv_pos_as_xyz
'x,y,z'
loop_
_atom_site_label
_atom_site_fract_x
_atom_site_fract_y
_atom_site_fract_z
Rb1 0.0000 0.0000 0.0000
Rb2 0.3604 0.5082 0.7231
Ba1 0.2559 0.9846 0.5053
Ba2 0.6610 0.4696 0.3127
H1 0.1521 0.2308 0.2940
H2 0.2094 0.6332 0.4115
H3 0.7828 0.2417 0.5608
H4 0.7983 0.7756 0.5917
```


(6)
Entry from the Alexandria database: Ca5Si2Ge5 after structural relaxation (PBE).

Results
E_form (uncorrected) in meV per atom: -464

The structure in CIF format:
```
data_Ca5Si2Ge5
_chemical_formula_sum 'Ca10 Si4 Ge10'
_symmetry_space_group_name_H-M 'C 1 2/m 1'
_symmetry_Int_Tables_number 12
_cell_length_a 14.8712
_cell_length_b 4.3090
_cell_length_c 11.5172
_cell_angle_alpha 90.00
_cell_angle_beta 129.91
_cell_angle_gamma 90.00
loop_
_symmetry_equiv_pos_as_xyz
'x,y,z'
'-x,-y,-z'
'-x,y,-z'
'x,-y,z'
'x+1/2,y+1/2,z'
'-x+1/2,-y+1/2,-z'
'-x+1/2,y+1/2,-z'
'x+1/2,-y+1/2,z'
loop_
_atom_site_label
_atom_site_fract_x
_atom_site_fract_y
_atom_site_fract_z
Ca1 0.0000 0.0000 0.0000
Ca2 0.1104 0.0000 0.4270
Ca3 0.2034 0.0000 0.8347
Si1 0.1374 0.5000 0.2514
Ge1 0.0000 0.5000 0.5000
Ge2 0.0537 0.5000 0.8221
Ge3 0.2474 0.5000 0.6857
```


(7)
Entry from the Alexandria database: Nd4DyNi4 after structural relaxation (PBE).

The structure in CIF format:
```
data_Nd4DyNi4
_chemical_formula_sum 'Nd8 Dy2 Ni8'
_symmetry_space_group_name_H-M 'P 42/n'
_symmetry_Int_Tables_number 86
_cell_length_a 8.5458
_cell_length_b 8.5458
_cell_length_c 5.9478
_cell_angle_alpha 90.00
_cell_angle_beta 90.00
_cell_angle_gamma 90.00
loop_
_symmetry_equiv_pos_as_xyz
'x,y,z'
'-x,-y,-z'
'-y,x+1/2,z+1/2'
'y,-x+1/2,-z+1/2'
'-x+1/2,-y+1/2,z'
'x+1/2,y+1/2,-z'
'y+1/2,-x,z+1/2'
'-y+1/2,x,-z+1/2'
loop_
_atom_site_label
_atom_site_fract_x
_atom_site_fract_y
_atom_site_fract_z
Nd1 0.0558 0.6661 0.1483
Dy1 0.2500 0.2500 0.2500
Ni1 0.0202 0.6204 0.6263
```


(8)
Entry from the Alexandria database: HgTeW2 after structural relaxation (PBE).

Results
Relative energy among the computed polymorphs in eV per formula unit: 0.572
E_form (uncorrected) in meV per atom: 594

The structure in CIF format:
```
data_HgTeW2
_chemical_formula_sum 'Hg2 Te2 W4'
_symmetry_space_group_name_H-M 'C m m 2'
_symmetry_Int_Tables_number 35
_cell_length_a 3.2822
_cell_length_b 4.9631
_cell_length_c 10.4933
_cell_angle_alpha 90.00
_cell_angle_beta 90.00
_cell_angle_gamma 90.00
loop_
_symmetry_equiv_pos_as_xyz
'x,y,z'
'-x,-y,z'
'-x,y,z'
'x,-y,z'
'x+1/2,y+1/2,z'
'-x+1/2,-y+1/2,z'
'-x+1/2,y+1/2,z'
'x+1/2,-y+1/2,z'
loop_
_atom_site_label
_atom_site_fract_x
_atom_site_fract_y
_atom_site_fract_z
Hg1 0.0000 0.0000 0.0000
Te1 0.0000 0.5000 0.6627
W1 0.0000 0.0000 0.4312
W2 0.0000 0.5000 0.2431
```


(9)
Entry from the Alexandria database: K2CaBr after structural relaxation (PBE).

Results
Relative energy among the computed polymorphs in eV per formula unit: 0.101
E_form (uncorrected) in meV per atom: -706

The structure in CIF format:
```
data_K2CaBr
_chemical_formula_sum 'K4 Ca2 Br2'
_symmetry_space_group_name_H-M 'C m m m'
_symmetry_Int_Tables_number 65
_symmetry_space_group_name_Hall '-C 2 2'
_cell_length_a 5.6187
_cell_length_b 5.7182
_cell_length_c 10.9777
_cell_angle_alpha 90.00
_cell_angle_beta 90.00
_cell_angle_gamma 90.00
loop_
_atom_site_label
_atom_site_fract_x
_atom_site_fract_y
_atom_site_fract_z
K1 0.0000 0.0000 0.1806
Ca1 0.0000 0.5000 0.5000
Br1 0.0000 0.5000 0.0000
```


(10)
Entry from the Alexandria database: TbNd2ScSe4 after structural relaxation (PBE).

Results
E_form (uncorrected) in meV per atom: -1748

The structure in CIF format:
```
data_TbNd2ScSe4
_chemical_formula_sum 'Tb1 Nd2 Sc1 Se4'
_symmetry_space_group_name_H-M 'P 1 2/m 1'
_symmetry_Int_Tables_number 10
_cell_length_a 7.0572
_cell_length_b 4.0490
_cell_length_c 7.2711
_cell_angle_alpha 90.00
_cell_angle_beta 108.70
_cell_angle_gamma 90.00
loop_
_symmetry_equiv_pos_as_xyz
'x,y,z'
'-x,-y,-z'
'-x,y,-z'
'x,-y,z'
loop_
_atom_site_label
_atom_site_fract_x
_atom_site_fract_y
_atom_site_fract_z
Tb1 0.0000 0.0000 0.0000
Nd1 0.0000 0.5000 0.5000
Nd2 0.5000 0.0000 0.5000
Sc1 0.5000 0.5000 0.0000
Se1 0.2519 0.5000 0.2318
Se2 0.2662 0.0000 0.7739
```


| no. | E (eV per cell) |
| --- | --- |
| 1 | -153.67 |
| 2 | -37.80 |
| 3 | -143.93 |
| 4 | -25.65 |
| 5 | -21.18 |
| 6 | -99.03 |
| 7 | -96.97 |
| 8 | -53.95 |
| 9 | -17.39 |
| 10 | -48.42 |